Entry 1:
## AlInSe3 (GGA-PBE)

Data for a relaxed structure of AlInSe3.

Output
SG   No. 36
Total energy   -4.072 eV per atom

Structure (POSCAR):
```
AlInSe3
1.0
1.9783 -10.9374 0.0000
1.9783 10.9374 0.0000
0.0000 0.0000 6.5328
Al In Se
2 2 6
Direct
0.1252 0.8748 0.5000
0.8748 0.1252 0.0000
0.3314 0.6686 0.4351
0.6686 0.3314 0.9351
0.1099 0.8901 0.1375
0.2227 0.7773 0.6832
0.4261 0.5739 0.1395
0.5739 0.4261 0.6395
0.7773 0.2227 0.1832
0.8901 0.1099 0.6375
```

=====

Entry 2:
## AlIn2Se (GGA-PBE)

Data for a relaxed structure of AlIn2Se.

Output
SG   No. 119
E above lowest polymorph   160.1 meV per atom

Structure (POSCAR):
```
AlIn2Se
1.0
-2.1708 2.1708 5.1841
2.1708 -2.1708 5.1841
2.1708 2.1708 -5.1841
Al In Se
1 2 1
Direct
0.0000 0.0000 0.0000
0.2500 0.7500 0.5000
0.5000 0.5000 0.0000
0.7500 0.2500 0.5000
```

=====

Entry 3:
## AlInSe2 (GGA-PBE)

Data for a relaxed structure of AlInSe2.

Output
SG   No. 12
Total energy   -3.531 eV per atom

Structure (POSCAR):
```
AlInSe2
1.0
2.7304 -4.1566 0.0000
2.7304 4.1566 0.0000
-2.7163 0.0000 4.1394
Al In Se
1 1 2
Direct
0.0000 0.0000 0.0000
0.5000 0.5000 0.0000
0.0000 0.5000 0.5000
0.5000 0.0000 0.5000
```